PuNb2N4: optimized geometry, PBE.

Unit cell a=5.394 b=5.394 c=10.364 alpha=90.00 beta=90.00 gamma=145.97
Positions (direct):
Pu  0.113  0.887  0.750
Pu  0.887  0.113  0.250
Nb  0.371  0.629  0.565
Nb  0.371  0.629  0.935
Nb  0.629  0.371  0.065
Nb  0.629  0.371  0.435
N  0.000  0.000  0.000
N  0.000  0.000  0.500
N  0.267  0.733  0.117
N  0.267  0.733  0.383
N  0.444  0.556  0.750
N  0.556  0.444  0.250
N  0.733  0.267  0.617
N  0.733  0.267  0.883

Raw total energy in eV per cell: -150.3
Total moment in Bohr magnetons per cell: 9.74
V in Å³ per atom: 12.1
Space group: Cmcm, No. 63
Crystal system: orthorhombic
Uncorrected formation energy in eV/f.u.: -7.38

SmCuC: optimized geometry, PBE.

Unit cell a=4.323 b=4.323 c=7.053 alpha=102.30 beta=102.30 gamma=52.92
Positions (direct):
Sm  0.099  0.099  0.294
Sm  0.901  0.901  0.706
Cu  0.348  0.348  0.023
Cu  0.652  0.652  0.977
C  0.415  0.415  0.449
C  0.585  0.585  0.551

ΔH_f (0 K) in eV/atom: -0.175
Raw total energy in eV per cell: -37.1
Total moment in Bohr magnetons per cell: 0.00
V in Å³ per atom: 17.0
Space group: C2/m, No. 12
Crystal system: monoclinic